1.
{"formula": "Ac5HgGe4", "functional": "PBE", "state": "relaxed", "dft_energy_ev_per_atom": -4.46, "volume_a3_per_cell": 304.0, "total_magnetization_mub_per_fu": 0.00, "cell": [[4.003, 0.000, 0.000], [0.000, 4.003, 0.000], [0.000, 0.000, 18.974]], "species": ["Ac", "Ac", "Ac", "Ac", "Ac", "Hg", "Ge", "Ge", "Ge", "Ge"], "fractional_positions": [[0.000, 0.000, 0.000], [0.000, 0.000, 0.195], [0.000, 0.000, 0.388], [0.000, 0.000, 0.612], [0.000, 0.000, 0.805], [0.500, 0.500, 0.500], [0.500, 0.500, 0.098], [0.500, 0.500, 0.297], [0.500, 0.500, 0.703], [0.500, 0.500, 0.902]]}

---

2.
{"formula": "AcHg4Ge2", "functional": "PBE", "state": "relaxed", "dft_energy_ev_per_atom": -2.23, "volume_a3_per_cell": 353.4, "total_magnetization_mub_per_fu": 0.00, "cell": [[4.606, 0.000, 0.000], [0.000, 16.723, 0.000], [0.000, 0.000, 4.588]], "species": ["Ac", "Ac", "Hg", "Hg", "Hg", "Hg", "Hg", "Hg", "Hg", "Hg", "Ge", "Ge", "Ge", "Ge"], "fractional_positions": [[0.000, 0.000, 0.000], [0.500, 0.500, 0.000], [0.000, 0.179, 0.500], [0.000, 0.313, 0.000], [0.000, 0.687, 0.000], [0.000, 0.821, 0.500], [0.500, 0.187, 0.000], [0.500, 0.321, 0.500], [0.500, 0.679, 0.500], [0.500, 0.813, 0.000], [0.000, 0.426, 0.500], [0.000, 0.574, 0.500], [0.500, 0.074, 0.500], [0.500, 0.926, 0.500]]}

---

3.
{"formula": "Ac3Hg3Ge2", "functional": "PBE", "state": "relaxed", "dft_energy_ev_per_atom": -3.34, "volume_a3_per_cell": 465.8, "total_magnetization_mub_per_fu": 0.00, "cell": [[2.283, -6.082, 0.000], [2.283, 6.082, 0.000], [0.000, 0.000, 16.772]], "species": ["Ac", "Ac", "Ac", "Ac", "Ac", "Ac", "Hg", "Hg", "Hg", "Hg", "Hg", "Hg", "Ge", "Ge", "Ge", "Ge"], "fractional_positions": [[0.063, 0.937, 0.604], [0.063, 0.937, 0.896], [0.338, 0.662, 0.750], [0.662, 0.338, 0.250], [0.937, 0.063, 0.104], [0.937, 0.063, 0.396], [0.359, 0.641, 0.538], [0.359, 0.641, 0.962], [0.392, 0.608, 0.250], [0.608, 0.392, 0.750], [0.641, 0.359, 0.038], [0.641, 0.359, 0.462], [0.231, 0.769, 0.117], [0.231, 0.769, 0.383], [0.769, 0.231, 0.617], [0.769, 0.231, 0.883]]}

---

4.
{"formula": "Ac3Hg2Ge2", "functional": "PBE", "state": "relaxed", "dft_energy_ev_per_atom": -3.74, "volume_a3_per_cell": 430.9, "total_magnetization_mub_per_fu": 0.00, "cell": [[4.137, 0.000, 0.000], [0.000, 23.965, 0.000], [0.000, 0.000, 4.346]], "species": ["Ac", "Ac", "Ac", "Ac", "Ac", "Ac", "Hg", "Hg", "Hg", "Hg", "Ge", "Ge", "Ge", "Ge"], "fractional_positions": [[0.000, 0.000, 0.000], [0.000, 0.170, 0.000], [0.000, 0.830, 0.000], [0.500, 0.330, 0.000], [0.500, 0.500, 0.000], [0.500, 0.670, 0.000], [0.000, 0.424, 0.500], [0.000, 0.576, 0.500], [0.500, 0.076, 0.500], [0.500, 0.924, 0.500], [0.000, 0.282, 0.500], [0.000, 0.718, 0.500], [0.500, 0.218, 0.500], [0.500, 0.782, 0.500]]}

---

5.
{"formula": "Ac3Hg2Ge4", "functional": "PBE", "state": "relaxed", "dft_energy_ev_per_atom": -4.02, "volume_a3_per_cell": 244.3, "total_magnetization_mub_per_fu": 0.00, "cell": [[6.068, -2.303, 0.000], [6.068, 2.303, 0.000], [-3.369, 0.000, 8.739]], "species": ["Ac", "Ac", "Ac", "Hg", "Hg", "Ge", "Ge", "Ge", "Ge"], "fractional_positions": [[0.000, 0.000, 0.000], [0.374, 0.374, 0.313], [0.626, 0.626, 0.687], [0.325, 0.325, 0.676], [0.675, 0.675, 0.324], [0.086, 0.086, 0.397], [0.282, 0.282, 0.955], [0.718, 0.718, 0.045], [0.914, 0.914, 0.603]]}

---

6.
{"formula": "Ac7Hg2Ge2", "functional": "PBE", "state": "relaxed", "dft_energy_ev_per_atom": -3.77, "volume_a3_per_cell": 416.6, "total_magnetization_mub_per_fu": 0.00, "cell": [[4.394, -5.971, 0.000], [4.394, 5.971, 0.000], [0.000, 0.000, 7.941]], "species": ["Ac", "Ac", "Ac", "Ac", "Ac", "Ac", "Ac", "Hg", "Hg", "Ge", "Ge"], "fractional_positions": [[0.000, 0.000, 0.000], [0.000, 0.500, 0.273], [0.000, 0.500, 0.727], [0.500, 0.000, 0.273], [0.500, 0.000, 0.727], [0.500, 0.500, 0.251], [0.500, 0.500, 0.749], [0.171, 0.171, 0.500], [0.829, 0.829, 0.500], [0.283, 0.717, 0.000], [0.717, 0.283, 0.000]]}

---

7.
{"formula": "Ac6HgGe2", "functional": "PBE", "state": "relaxed", "dft_energy_ev_per_atom": -4.11, "de_polymorph_mev_per_atom": 124, "volume_a3_per_cell": 341.8, "total_magnetization_mub_per_fu": 0.00, "cell": [[-2.719, 3.841, 8.183], [2.719, -3.841, 8.183], [2.719, 3.841, -8.183]], "species": ["Ac", "Ac", "Ac", "Ac", "Ac", "Ac", "Hg", "Ge", "Ge"], "fractional_positions": [[0.079, 0.332, 0.747], [0.242, 0.000, 0.242], [0.415, 0.668, 0.747], [0.585, 0.332, 0.253], [0.758, 0.000, 0.758], [0.921, 0.668, 0.253], [0.500, 0.500, 0.000], [0.169, 0.169, 0.000], [0.831, 0.831, 0.000]]}

---

8.
{"formula": "Ac2HgGe2", "functional": "PBE", "state": "relaxed", "dft_energy_ev_per_atom": -4.19, "volume_a3_per_cell": 586.1, "total_magnetization_mub_per_fu": 0.00, "cell": [[8.028, 0.000, 0.000], [0.000, 8.028, 0.000], [0.000, 0.000, 9.094]], "species": ["Ac", "Ac", "Ac", "Ac", "Ac", "Ac", "Ac", "Ac", "Hg", "Hg", "Hg", "Hg", "Ge", "Ge", "Ge", "Ge", "Ge", "Ge", "Ge", "Ge"], "fractional_positions": [[0.183, 0.317, 0.000], [0.183, 0.317, 0.500], [0.317, 0.817, 0.000], [0.317, 0.817, 0.500], [0.683, 0.183, 0.000], [0.683, 0.183, 0.500], [0.817, 0.683, 0.000], [0.817, 0.683, 0.500], [0.000, 0.000, 0.249], [0.000, 0.000, 0.751], [0.500, 0.500, 0.251], [0.500, 0.500, 0.749], [0.113, 0.613, 0.250], [0.113, 0.613, 0.750], [0.387, 0.113, 0.250], [0.387, 0.113, 0.750], [0.613, 0.887, 0.250], [0.613, 0.887, 0.750], [0.887, 0.387, 0.250], [0.887, 0.387, 0.750]]}

---

9.
{"formula": "Ac4HgGe3", "functional": "PBE", "state": "relaxed", "dft_energy_ev_per_atom": -4.45, "volume_a3_per_cell": 251.3, "total_magnetization_mub_per_fu": 0.28, "cell": [[4.412, 0.000, 0.000], [0.000, 4.738, 0.000], [0.000, 0.000, 12.021]], "species": ["Ac", "Ac", "Ac", "Ac", "Hg", "Ge", "Ge", "Ge"], "fractional_positions": [[0.000, 0.000, 0.000], [0.000, 0.500, 0.492], [0.500, 0.000, 0.714], [0.500, 0.500, 0.219], [0.000, 0.500, 0.783], [0.000, 0.000, 0.283], [0.500, 0.000, 0.428], [0.500, 0.500, 0.939]]}

---

10.
{"formula": "Ac6HgGe3", "functional": "PBE", "state": "relaxed", "dft_energy_ev_per_atom": -4.32, "volume_a3_per_cell": 746.2, "total_magnetization_mub_per_fu": 0.00, "cell": [[6.110, -7.718, 0.000], [6.110, 7.718, 0.000], [0.000, 0.000, 7.912]], "species": ["Ac", "Ac", "Ac", "Ac", "Ac", "Ac", "Ac", "Ac", "Ac", "Ac", "Ac", "Ac", "Hg", "Hg", "Ge", "Ge", "Ge", "Ge", "Ge", "Ge"], "fractional_positions": [[0.001, 0.999, 0.500], [0.089, 0.533, 0.976], [0.241, 0.759, 0.345], [0.286, 0.367, 0.391], [0.367, 0.286, 0.891], [0.467, 0.911, 0.976], [0.533, 0.089, 0.476], [0.633, 0.714, 0.391], [0.714, 0.633, 0.891], [0.759, 0.241, 0.845], [0.911, 0.467, 0.476], [0.999, 0.001, 0.000], [0.178, 0.822, 0.746], [0.822, 0.178, 0.246], [0.077, 0.280, 0.718], [0.280, 0.077, 0.218], [0.415, 0.585, 0.093], [0.585, 0.415, 0.593], [0.720, 0.923, 0.718], [0.923, 0.720, 0.218]]}

---

11.
{"formula": "Ac3Hg2Ge", "functional": "PBE", "state": "relaxed", "dft_energy_ev_per_atom": -3.43, "de_polymorph_mev_per_atom": 0, "volume_a3_per_cell": 192.5, "total_magnetization_mub_per_fu": 0.00, "cell": [[5.643, 0.000, 0.000], [-2.822, 4.887, 0.000], [0.000, 0.000, 6.979]], "species": ["Ac", "Ac", "Ac", "Hg", "Hg", "Ge"], "fractional_positions": [[0.000, 0.000, 0.000], [0.333, 0.667, 0.645], [0.667, 0.333, 0.355], [0.333, 0.667, 0.136], [0.667, 0.333, 0.864], [0.000, 0.000, 0.500]]}

---

12.
{"formula": "Ac12HgGe7", "functional": "PBE", "state": "relaxed", "dft_energy_ev_per_atom": -4.46, "volume_a3_per_cell": 739.1, "total_magnetization_mub_per_fu": 0.00, "cell": [[8.166, 4.715, 3.199], [-8.166, 4.715, 3.199], [0.000, -9.430, 3.199]], "species": ["Ac", "Ac", "Ac", "Ac", "Ac", "Ac", "Ac", "Ac", "Ac", "Ac", "Ac", "Ac", "Hg", "Ge", "Ge", "Ge", "Ge", "Ge", "Ge", "Ge"], "fractional_positions": [[0.097, 0.310, 0.391], [0.128, 0.666, 0.272], [0.272, 0.128, 0.666], [0.310, 0.391, 0.097], [0.334, 0.728, 0.872], [0.391, 0.097, 0.310], [0.609, 0.903, 0.690], [0.666, 0.272, 0.128], [0.690, 0.609, 0.903], [0.728, 0.872, 0.334], [0.872, 0.334, 0.728], [0.903, 0.690, 0.609], [0.000, 0.000, 0.000], [0.032, 0.941, 0.279], [0.059, 0.721, 0.968], [0.279, 0.032, 0.941], [0.500, 0.500, 0.500], [0.721, 0.968, 0.059], [0.941, 0.279, 0.032], [0.968, 0.059, 0.721]]}

---

13.
{"formula": "Ac6HgGe2", "functional": "PBE", "state": "relaxed", "dft_energy_ev_per_atom": -4.23, "de_polymorph_mev_per_atom": 0, "volume_a3_per_cell": 652.8, "total_magnetization_mub_per_fu": 0.00, "cell": [[-5.341, 5.480, 5.576], [5.341, -5.480, 5.576], [5.341, 5.480, -5.576]], "species": ["Ac", "Ac", "Ac", "Ac", "Ac", "Ac", "Ac", "Ac", "Ac", "Ac", "Ac", "Ac", "Hg", "Hg", "Ge", "Ge", "Ge", "Ge"], "fractional_positions": [[0.054, 0.249, 0.805], [0.170, 0.472, 0.303], [0.170, 0.867, 0.697], [0.327, 0.230, 0.557], [0.327, 0.770, 0.097], [0.444, 0.249, 0.195], [0.556, 0.751, 0.805], [0.673, 0.230, 0.903], [0.673, 0.770, 0.443], [0.830, 0.133, 0.303], [0.830, 0.528, 0.697], [0.946, 0.751, 0.195], [0.000, 0.000, 0.000], [0.500, 0.500, 0.000], [0.157, 0.500, 0.657], [0.385, 0.885, 0.500], [0.615, 0.115, 0.500], [0.843, 0.500, 0.343]]}

---

14.
{"formula": "Ac6HgGe5", "functional": "PBE", "state": "relaxed", "dft_energy_ev_per_atom": -4.55, "volume_a3_per_cell": 422.6, "total_magnetization_mub_per_fu": 0.00, "cell": [[4.048, -7.060, 0.000], [4.048, 7.060, 0.000], [-2.756, 0.000, 7.392]], "species": ["Ac", "Ac", "Ac", "Ac", "Ac", "Ac", "Hg", "Ge", "Ge", "Ge", "Ge", "Ge"], "fractional_positions": [[0.057, 0.411, 0.734], [0.232, 0.232, 0.257], [0.411, 0.057, 0.734], [0.589, 0.943, 0.266], [0.768, 0.768, 0.743], [0.943, 0.589, 0.266], [0.500, 0.500, 0.000], [0.000, 0.000, 0.500], [0.170, 0.830, 0.000], [0.346, 0.654, 0.500], [0.654, 0.346, 0.500], [0.830, 0.170, 0.000]]}

---

15.
{"formula": "Ac12Hg2Ge5", "functional": "PBE", "state": "relaxed", "dft_energy_ev_per_atom": -4.19, "volume_a3_per_cell": 729.4, "total_magnetization_mub_per_fu": 0.00, "cell": [[9.180, -3.995, 0.000], [9.180, 3.995, 0.000], [-2.322, 0.000, 9.943]], "species": ["Ac", "Ac", "Ac", "Ac", "Ac", "Ac", "Ac", "Ac", "Ac", "Ac", "Ac", "Ac", "Hg", "Hg", "Ge", "Ge", "Ge", "Ge", "Ge"], "fractional_positions": [[0.008, 0.008, 0.292], [0.064, 0.578, 0.895], [0.108, 0.594, 0.438], [0.406, 0.892, 0.562], [0.422, 0.936, 0.105], [0.480, 0.480, 0.190], [0.520, 0.520, 0.810], [0.578, 0.064, 0.895], [0.594, 0.108, 0.438], [0.892, 0.406, 0.562], [0.936, 0.422, 0.105], [0.992, 0.992, 0.708], [0.184, 0.816, 0.000], [0.816, 0.184, 0.000], [0.176, 0.176, 0.824], [0.202, 0.202, 0.360], [0.500, 0.500, 0.500], [0.798, 0.798, 0.640], [0.824, 0.824, 0.176]]}

---

16.
{"formula": "Ac4Hg2Ge", "functional": "PBE", "state": "relaxed", "dft_energy_ev_per_atom": -3.51, "de_polymorph_mev_per_atom": 0, "volume_a3_per_cell": 490.3, "total_magnetization_mub_per_fu": 0.00, "cell": [[11.237, 0.000, 0.000], [0.000, 5.128, 0.000], [-3.814, 0.000, 8.508]], "species": ["Ac", "Ac", "Ac", "Ac", "Ac", "Ac", "Ac", "Ac", "Hg", "Hg", "Hg", "Hg", "Ge", "Ge"], "fractional_positions": [[0.090, 0.000, 0.370], [0.191, 0.500, 0.101], [0.309, 0.000, 0.899], [0.410, 0.500, 0.630], [0.590, 0.500, 0.370], [0.691, 0.000, 0.101], [0.809, 0.500, 0.899], [0.910, 0.000, 0.630], [0.120, 0.500, 0.665], [0.380, 0.000, 0.335], [0.620, 0.000, 0.665], [0.880, 0.500, 0.335], [0.000, 0.000, 0.000], [0.500, 0.500, 0.000]]}

---

17.
{"formula": "Ac3Hg2Ge", "functional": "PBE", "state": "relaxed", "dft_energy_ev_per_atom": -3.38, "de_polymorph_mev_per_atom": 48, "volume_a3_per_cell": 432.7, "total_magnetization_mub_per_fu": 0.00, "cell": [[16.206, 0.000, 0.000], [0.000, 6.156, 0.000], [-0.569, 0.000, 4.337]], "species": ["Ac", "Ac", "Ac", "Ac", "Ac", "Ac", "Hg", "Hg", "Hg", "Hg", "Ge", "Ge"], "fractional_positions": [[0.000, 0.000, 0.000], [0.142, 0.500, 0.556], [0.358, 0.000, 0.444], [0.500, 0.500, 0.000], [0.642, 0.000, 0.556], [0.858, 0.500, 0.444], [0.196, 0.000, 0.881], [0.304, 0.500, 0.119], [0.696, 0.500, 0.881], [0.804, 0.000, 0.119], [0.000, 0.500, 0.000], [0.500, 0.000, 0.000]]}

---

18.
{"formula": "Ac4Hg2Ge", "functional": "PBE", "state": "relaxed", "dft_energy_ev_per_atom": -3.34, "de_polymorph_mev_per_atom": 172, "volume_a3_per_cell": 576.6, "total_magnetization_mub_per_fu": 0.00, "cell": [[6.005, 0.000, 0.000], [0.000, 6.005, 0.000], [0.000, 0.000, 15.991]], "species": ["Ac", "Ac", "Ac", "Ac", "Ac", "Ac", "Ac", "Ac", "Hg", "Hg", "Hg", "Hg", "Ge", "Ge"], "fractional_positions": [[0.000, 0.000, 0.192], [0.000, 0.000, 0.808], [0.000, 0.500, 0.000], [0.000, 0.500, 0.500], [0.500, 0.000, 0.000], [0.500, 0.000, 0.500], [0.500, 0.500, 0.308], [0.500, 0.500, 0.692], [0.000, 0.000, 0.392], [0.000, 0.000, 0.608], [0.500, 0.500, 0.108], [0.500, 0.500, 0.892], [0.000, 0.000, 0.000], [0.500, 0.500, 0.500]]}

---

19.
{"formula": "Ac3HgGe3", "functional": "PBE", "state": "relaxed", "dft_energy_ev_per_atom": -4.40, "de_polymorph_mev_per_atom": 0, "volume_a3_per_cell": 414.8, "total_magnetization_mub_per_fu": 0.58, "cell": [[4.419, 0.000, 0.000], [0.000, 4.683, 0.000], [0.000, 0.000, 20.046]], "species": ["Ac", "Ac", "Ac", "Ac", "Ac", "Ac", "Hg", "Hg", "Ge", "Ge", "Ge", "Ge", "Ge", "Ge"], "fractional_positions": [[0.000, 0.000, 0.000], [0.000, 0.000, 0.368], [0.000, 0.500, 0.693], [0.500, 0.000, 0.193], [0.500, 0.500, 0.500], [0.500, 0.500, 0.868], [0.000, 0.500, 0.119], [0.500, 0.000, 0.619], [0.000, 0.000, 0.536], [0.000, 0.000, 0.831], [0.000, 0.500, 0.254], [0.500, 0.000, 0.754], [0.500, 0.500, 0.036], [0.500, 0.500, 0.331]]}

---

20.
{"formula": "Ac3Hg4Ge2", "functional": "PBE", "state": "relaxed", "dft_energy_ev_per_atom": -3.08, "volume_a3_per_cell": 260.7, "total_magnetization_mub_per_fu": 0.00, "cell": [[6.147, -2.313, 0.000], [6.147, 2.313, 0.000], [-3.243, 0.000, 9.167]], "species": ["Ac", "Ac", "Ac", "Hg", "Hg", "Hg", "Hg", "Ge", "Ge"], "fractional_positions": [[0.000, 0.000, 0.000], [0.322, 0.322, 0.367], [0.678, 0.678, 0.633], [0.015, 0.015, 0.350], [0.239, 0.239, 0.905], [0.761, 0.761, 0.095], [0.985, 0.985, 0.650], [0.382, 0.382, 0.726], [0.618, 0.618, 0.274]]}

---

21.
{"formula": "AcHg4Ge", "functional": "PBE", "state": "relaxed", "dft_energy_ev_per_atom": -1.74, "volume_a3_per_cell": 161.7, "total_magnetization_mub_per_fu": 0.00, "cell": [[0.000, 4.324, 4.324], [4.324, 0.000, 4.324], [4.324, 4.324, 0.000]], "species": ["Ac", "Hg", "Hg", "Hg", "Hg", "Ge"], "fractional_positions": [[0.000, 0.000, 0.000], [0.376, 0.376, 0.376], [0.376, 0.376, 0.872], [0.376, 0.872, 0.376], [0.872, 0.376, 0.376], [0.750, 0.750, 0.750]]}